# RbCrOs2O8

An optimized crystal structure of RbCrOs2O8 (GGA+U, Alexandria).

Calculated values
* V: 212.6 Å³/f.u.
* space-group type: P-3
* spin magnetization: 7.06 μB/f.u.
* E_tot: -7.05 eV/atom

Cell: 5.3662 5.3662 8.5255 Å, 90.00 90.00 120.00°
Positions (direct):
O 0.3241 0.2854 0.3565
O 0.9613 0.6759 0.3565
O 0.0387 0.3241 0.6435
O 0.2854 0.9613 0.6435
O 0.6667 0.3333 0.0825
O 0.7146 0.0387 0.3565
O 0.3333 0.6667 0.9175
O 0.6759 0.7146 0.6435
Cr 0.0000 0.0000 0.5000
Os 0.6667 0.3333 0.2904
Os 0.3333 0.6667 0.7096
Rb 0.0000 0.0000 0.0000